(1)
{"formula": "CdAsO2F", "functional": "GGA-PBE", "state": "relaxed", "formation_energy_uncorrected_ev_per_atom": -1.47, "magmom_total_mub_per_cell": 0.00, "spacegroup": "P2_1/m, No. 11", "lattice": [[3.921, 0.000, 0.000], [0.000, 5.764, -0.397], [0.000, -1.726, 6.991]], "species": ["O", "O", "O", "O", "Cd", "Cd", "F", "F", "As", "As"], "frac_coords": [[0.750, 0.507, 0.830], [0.250, 0.493, 0.170], [0.250, 0.434, 0.561], [0.750, 0.566, 0.439], [0.250, 0.723, 0.957], [0.750, 0.277, 0.043], [0.750, 0.946, 0.135], [0.250, 0.054, 0.865], [0.250, 0.667, 0.426], [0.750, 0.333, 0.574]]}

---

(2)
{"formula": "BaScP2", "functional": "GGA-PBE", "state": "relaxed", "e_form_mev_per_atom": -703, "magmom_total_mub_per_cell": 0.26, "e_above_lowest_polymorph_kcal_per_mol_atoms": 6.57, "spacegroup": "Immm, No. 71", "lattice": [[-1.628, -1.383, -4.842], [4.402, -2.939, 0.017], [-4.209, -0.496, 3.170]], "species": ["Ba", "Sc", "P", "P"], "frac_coords": [[0.250, 0.750, 0.500], [0.750, 0.250, 0.500], [0.918, 0.918, 0.000], [0.582, 0.582, 0.000]]}

---

(3)
{"formula": "LaMo3Pd", "functional": "GGA-PBE", "state": "relaxed", "e_form_mev_per_atom": 1435, "magmom_total_mub_per_cell": 0.55, "e_above_lowest_polymorph_kcal_per_mol_atoms": 0.00, "spacegroup": "Pm-3m, No. 221", "lattice": [[4.865, 0.000, 0.000], [0.000, 4.865, 0.000], [0.000, 0.000, 4.865]], "species": ["Mo", "Mo", "Mo", "La", "Pd"], "frac_coords": [[0.000, 0.000, 0.500], [0.000, 0.500, 0.000], [0.500, 0.000, 0.000], [0.500, 0.500, 0.500], [0.000, 0.000, 0.000]]}

---

(4)
{"formula": "BeCu2Ru", "functional": "GGA-PBE", "state": "relaxed", "e_form_mev_per_atom": 97, "magmom_total_mub_per_cell": 0.00, "spacegroup": "I4/mmm, No. 139", "lattice": [[-0.436, 2.721, 3.771], [-3.833, 2.647, 0.341], [1.003, -4.473, -0.896]], "species": ["Cu", "Cu", "Ru", "Be"], "frac_coords": [[0.500, 0.500, 0.000], [0.000, 0.000, 0.000], [0.250, 0.750, 0.500], [0.750, 0.250, 0.500]]}